[1]
Compound: BaCdOs
Source: Alexandria
Functional: PBE
Structure: optimized geometry

Lattice parameters (Å, degrees): 5.295 5.295 5.295 60.00 60.00 60.00
Last column: magnetic moment on the atom in μB.
Atoms (fractional coordinates):
1 Os 0.500 0.500 0.500  1.92
2 Ba 0.750 0.750 0.750  -0.02
3 Cd 0.000 0.000 0.000  0.01

Values from the calculation:
Energy of formation ... 460 kJ/mol of formula units
M_tot ... 2.1 μB per cell
Symmetry ... F-43m, No. 216
V ... 35.000 Å³/atom



[2]
Compound: AcErO
Source: Alexandria
Functional: PBE
Structure: optimized geometry

Lattice parameters (Å, degrees): 3.688 3.688 6.537 90.00 90.00 120.00
Last column: magnetic moment on the atom in μB.
Atoms (fractional coordinates):
1 Ac 0.000 0.000 0.941  0.00
2 O 0.333 0.667 0.585  0.01
3 Er 0.667 0.333 0.474  0.19

Values from the calculation:
M_tot ... 0.3 μB per cell
Symmetry ... P3m1, No. 156
Energy relative to the elements, uncorrected ... -1.66 eV/atom
V ... 25.667 Å³/atom



[3]
Compound: Pr2Pu2Tl3
Source: Alexandria
Functional: PBE
Structure: optimized geometry

Lattice parameters (Å, degrees): 4.777 3.527 12.060 90.00 78.58 90.00
Last column: magnetic moment on the atom in μB.
Atoms (fractional coordinates):
1 Pr 0.576 0.500 0.849  0.04
2 Pr 0.424 0.500 0.151  0.04
3 Pu 0.715 0.500 0.570  5.67
4 Pu 0.285 0.500 0.430  5.67
5 Tl 0.847 0.000 0.307  -0.03
6 Tl 0.000 0.000 0.000  0.02
7 Tl 0.153 0.000 0.693  -0.03

Values from the calculation:
Energy of formation ... -93 kJ/mol of formula units
M_tot ... 12.0 μB per cell
Symmetry ... Cmmm, No. 65
V ... 28.452 Å³/atom



[4]
Compound: ThCN
Source: Alexandria
Functional: PBE
Structure: optimized geometry

Lattice parameters (Å, degrees): 4.015 4.015 7.398 87.83 87.83 59.63
Atoms (fractional coordinates):
1 Th 0.174 0.174 0.802
2 Th 0.826 0.826 0.198
3 C 0.481 0.481 0.417
4 C 0.519 0.519 0.583
5 N 0.840 0.840 0.879
6 N 0.160 0.160 0.121

Values from the calculation:
M_tot ... 0.0 μB per cell
Symmetry ... C2/m, No. 12
Energy relative to the elements, uncorrected ... -0.94 eV/atom
V ... 17.135 Å³/atom



[5]
Compound: Hf5Mn4Ru
Source: Alexandria
Functional: PBE
Structure: optimized geometry

Lattice parameters (Å, degrees): 3.185 3.185 15.928 90.00 90.00 90.00
Last column: magnetic moment on the atom in μB.
Atoms (fractional coordinates):
1 Hf 0.500 0.500 0.103  -0.10
2 Hf 0.500 0.500 0.301  -0.20
3 Hf 0.500 0.500 0.500  -0.22
4 Hf 0.500 0.500 0.699  -0.20
5 Hf 0.500 0.500 0.897  -0.10
6 Mn 0.000 0.000 0.203  0.87
7 Mn 0.000 0.000 0.402  1.10
8 Mn 0.000 0.000 0.598  1.10
9 Mn 0.000 0.000 0.797  0.87
10 Ru 0.000 0.000 0.000  0.03

Values from the calculation:
Energy of formation ... -262 kJ/mol of formula units
M_tot ... 3.0 μB per cell
Symmetry ... P4/mmm, No. 123
V ... 16.156 Å³/atom



[6]
Compound: CaGe2Pd2
Source: Alexandria
Functional: PBE
Structure: optimized geometry

Lattice parameters (Å, degrees): 7.661 7.661 3.125 90.00 90.00 90.00
Atoms (fractional coordinates):
1 Ge 0.155 0.655 0.500
2 Ge 0.655 0.845 0.500
3 Ge 0.845 0.345 0.500
4 Ge 0.345 0.155 0.500
5 Ca 0.000 0.000 0.000
6 Ca 0.500 0.500 0.000
7 Pd 0.368 0.868 0.000
8 Pd 0.868 0.632 0.000
9 Pd 0.632 0.132 0.000
10 Pd 0.132 0.368 0.000

Values from the calculation:
Energy of formation ... -218 kJ/mol of formula units
M_tot ... 0.0 μB per cell
Symmetry ... P4/mbm, No. 127
V ... 18.344 Å³/atom



[7]
Compound: Ca3OsSe
Source: Alexandria
Functional: PBE
Structure: optimized geometry

Lattice parameters (Å, degrees): 5.352 5.352 5.352 90.00 90.00 90.00
Atoms (fractional coordinates):
1 Ca 0.000 0.500 0.000
2 Ca 0.000 0.000 0.500
3 Ca 0.500 0.000 0.000
4 Os 0.000 0.000 0.000
5 Se 0.500 0.500 0.500

Values from the calculation:
M_tot ... 0.0 μB per cell
Symmetry ... Pm-3m, No. 221
Energy relative to the elements, uncorrected ... -0.05 eV/atom
V ... 30.668 Å³/atom



[8]
Compound: TbSm5Ho3
Source: Alexandria
Functional: PBE
Structure: optimized geometry

Lattice parameters (Å, degrees): 12.095 12.095 11.528 43.95 43.95 32.27
Atoms (fractional coordinates):
1 Tb 0.761 0.239 0.750
2 Tb 0.239 0.761 0.250
3 Sm 0.314 0.686 0.750
4 Sm 0.081 0.262 0.004
5 Sm 0.392 0.387 0.170
6 Sm 0.919 0.738 0.996
7 Sm 0.613 0.608 0.330
8 Sm 0.686 0.314 0.250
9 Sm 0.262 0.081 0.504
10 Sm 0.738 0.919 0.496
11 Sm 0.387 0.392 0.670
12 Sm 0.608 0.613 0.830
13 Ho 0.000 0.000 0.000
14 Ho 0.838 0.640 0.394
15 Ho 0.000 0.000 0.500
16 Ho 0.162 0.360 0.606
17 Ho 0.640 0.838 0.894
18 Ho 0.360 0.162 0.106

Values from the calculation:
Energy of formation ... 153 kJ/mol of formula units
M_tot ... 0.0 μB per cell
Symmetry ... C2/c, No. 15
V ... 33.122 Å³/atom



[9]
Compound: TcSnB3
Source: Alexandria
Functional: PBE
Structure: optimized geometry

Lattice parameters (Å, degrees): 4.201 4.201 4.201 90.00 90.00 90.00
Atoms (fractional coordinates):
1 B 0.000 0.500 0.000
2 B 0.000 0.000 0.500
3 B 0.500 0.000 0.000
4 Sn 0.500 0.500 0.500
5 Tc 0.000 0.000 0.000

Values from the calculation:
Energy of formation ... 478 kJ/mol of formula units
M_tot ... 0.0 μB per cell
Symmetry ... Pm-3m, No. 221
V ... 14.824 Å³/atom



[10]
Compound: PmNbBi
Source: Alexandria
Functional: PBE
Structure: optimized geometry

Lattice parameters (Å, degrees): 3.681 3.606 12.183 81.49 90.00 90.00
Last column: magnetic moment on the atom in μB.
Atoms (fractional coordinates):
1 Bi 0.250 0.153 0.693  0.00
2 Bi 0.750 0.847 0.307  0.00
3 Pm 0.250 0.434 0.132  0.08
4 Pm 0.750 0.566 0.868  0.08
5 Nb 0.750 0.721 0.558  0.01
6 Nb 0.250 0.279 0.442  0.01

Values from the calculation:
Energy of formation ... -16 kJ/mol of formula units
M_tot ... 0.3 μB per cell
Symmetry ... Cmcm, No. 63
V ... 26.654 Å³/atom



[11]
Compound: CuReTe3
Source: Alexandria
Functional: PBE
Structure: optimized geometry

Lattice parameters (Å, degrees): 5.031 5.031 5.031 90.00 90.00 90.00
Last column: magnetic moment on the atom in μB.
Atoms (fractional coordinates):
1 Re 0.500 0.500 0.500  3.11
2 Te 0.000 0.500 0.000  -0.18
3 Te 0.000 0.000 0.500  -0.11
4 Te 0.500 0.000 0.000  -0.09
5 Cu 0.000 0.000 0.000  0.00

Values from the calculation:
M_tot ... 3.2 μB per cell
Symmetry ... Pm-3m, No. 221
Energy relative to the elements, uncorrected ... 1.37 eV/atom
V ... 25.465 Å³/atom



[12]
Compound: Dy4Co3Ni
Source: Alexandria
Functional: PBE
Structure: optimized geometry

Lattice parameters (Å, degrees): 3.912 3.877 10.426 90.00 90.00 90.00
Atoms (fractional coordinates):
1 Ni 0.500 0.500 0.067
2 Co 0.000 0.500 0.561
3 Co 0.000 0.000 0.436
4 Co 0.500 0.000 0.935
5 Dy 0.500 0.500 0.360
6 Dy 0.000 0.500 0.855
7 Dy 0.000 0.000 0.143
8 Dy 0.500 0.000 0.643

Values from the calculation:
Energy of formation ... -202 kJ/mol of formula units
M_tot ... 0.0 μB per cell
Symmetry ... Pmm2, No. 25
V ... 19.768 Å³/atom



Question: Among the records above, which one has the highest V?
Answer: BaCdOs



Question: Which of these has the highest M_tot?
Answer: Pr2Pu2Tl3



Question: Which of these has the lowest V?
Answer: TcSnB3